Entry 1:
This record from OQMD via LeMat-Bulk describes a geometry-optimized CsLiHfS3 structure. The functional is PBE-GGA.

Cell lengths 15.5034, 3.8381, 10.2741 Å; angles 90.00, 90.00, 90.00 degrees
Closest atoms and distances in Å follow each position.
Positions (direct):
1 Cs 0.7685 0.2500 0.0266  7 S 3.49-3.63, 2 Cs 3.84
2 Cs 0.2685 0.2500 0.4734  7 S 3.49-3.63, 2 Cs 3.84
3 Cs 0.7315 0.7500 0.5266  7 S 3.49-3.63, 2 Cs 3.84
4 Cs 0.2315 0.7500 0.9734  7 S 3.49-3.63, 2 Cs 3.84
5 Hf 0.4878 0.2500 0.1644  6 S 2.46-2.63
6 Hf 0.9878 0.2500 0.3356  6 S 2.46-2.63
7 Hf 0.0122 0.7500 0.6644  6 S 2.46-2.63
8 Hf 0.5122 0.7500 0.8356  6 S 2.46-2.63
9 Li 0.9852 0.7500 0.0907  4 S 2.37-2.45
10 Li 0.4852 0.7500 0.4093  4 S 2.37-2.45
11 Li 0.5148 0.2500 0.5907  4 S 2.37-2.45
12 Li 0.0148 0.2500 0.9093  4 S 2.37-2.45
13 S 0.5824 0.7500 0.0686  3 Hf 2.61-2.63
14 S 0.0707 0.2500 0.1320  3 Li 2.37-2.45, 1 Hf 2.46
15 S 0.3863 0.7500 0.2315  1 Li 2.39, 2 Hf 2.58
16 S 0.8863 0.7500 0.2685  1 Li 2.39, 2 Hf 2.58
17 S 0.5707 0.2500 0.3680  3 Li 2.37-2.45, 1 Hf 2.46
18 S 0.0824 0.7500 0.4314  3 Hf 2.61-2.63
19 S 0.9176 0.2500 0.5686  3 Hf 2.61-2.63
20 S 0.4293 0.7500 0.6320  3 Li 2.37-2.45, 1 Hf 2.46
21 S 0.1137 0.2500 0.7315  1 Li 2.39, 2 Hf 2.58
22 S 0.6137 0.2500 0.7685  1 Li 2.39, 2 Hf 2.58
23 S 0.9293 0.7500 0.8680  3 Li 2.37-2.45, 1 Hf 2.46
24 S 0.4176 0.2500 0.9314  3 Hf 2.61-2.63

The calculation puts the calculated total energy at -136.752 eV/cell. The space-group type is No. 62. The value obtained for the polymorph energy (0 for the lowest one) is 0 meV/atom. The calculated volume comes out at 25.473 Å³ per atom.

***

Entry 2:
This record from OQMD via LeMat-Bulk describes a geometry-optimized CsLiHfSe3 structure. The functional is PBE-GGA.

Cell lengths 8.1470, 8.1470, 10.4510 Å; angles 90.00, 90.00, 151.82 degrees
Closest atoms and distances in Å follow each position.
Positions (direct):
1 Cs 0.7409 0.2591 0.2500  8 Se 3.62-3.74, 2 Cs 3.97, 2 Li 3.97
2 Cs 0.2591 0.7409 0.7500  8 Se 3.62-3.74, 2 Cs 3.97, 2 Li 3.97
3 Hf 0.0000 0.0000 0.0000  6 Se 2.71-2.73
4 Hf 0.0000 0.0000 0.5000  6 Se 2.71-2.73
5 Li 0.4584 0.5416 0.2500  4 Se 2.45-2.46
6 Li 0.5416 0.4584 0.7500  4 Se 2.45-2.46
7 Se 0.3861 0.6139 0.0413  1 Li 2.46, 2 Hf 2.71
8 Se 0.0496 0.9504 0.2500  2 Li 2.45, 2 Hf 2.73
9 Se 0.3861 0.6139 0.4587  1 Li 2.46, 2 Hf 2.71
10 Se 0.6139 0.3861 0.5413  1 Li 2.46, 2 Hf 2.71
11 Se 0.9504 0.0496 0.7500  2 Li 2.45, 2 Hf 2.73
12 Se 0.6139 0.3861 0.9587  1 Li 2.46, 2 Hf 2.71

The calculation puts the calculated total energy at -62.607 eV/cell. The space-group type is No. 63. The value obtained for the polymorph energy (0 for the lowest one) is 10 meV/atom. The calculated volume comes out at 27.296 Å³ per atom.

***

Entry 3:
This record from OQMD via LeMat-Bulk describes a geometry-optimized CsLiHfSe3 structure. The functional is PBE-GGA.

Cell lengths 16.1343, 3.9987, 10.7421 Å; angles 90.00, 90.00, 90.00 degrees
Closest atoms and distances in Å follow each position.
Positions (direct):
1 Cs 0.2689 0.7500 0.0312  7 Se 3.61-3.74, 2 Cs 4.00
2 Cs 0.7689 0.7500 0.4688  7 Se 3.61-3.74, 2 Cs 4.00
3 Cs 0.2311 0.2500 0.5312  7 Se 3.61-3.74, 2 Cs 4.00
4 Cs 0.7311 0.2500 0.9688  7 Se 3.61-3.74, 2 Cs 4.00
5 Hf 0.9880 0.7500 0.1652  6 Se 2.59-2.77
6 Hf 0.4880 0.7500 0.3348  6 Se 2.59-2.77
7 Hf 0.5120 0.2500 0.6652  6 Se 2.59-2.77
8 Hf 0.0120 0.2500 0.8348  6 Se 2.59-2.77
9 Li 0.4857 0.2500 0.0917  4 Se 2.50-2.60
10 Li 0.9857 0.2500 0.4083  4 Se 2.50-2.60
11 Li 0.0143 0.7500 0.5917  4 Se 2.50-2.60
12 Li 0.5143 0.7500 0.9083  4 Se 2.50-2.60
13 Se 0.0841 0.2500 0.0683  3 Hf 2.74-2.77
14 Se 0.5751 0.7500 0.1322  3 Li 2.50-2.60, 1 Hf 2.59
15 Se 0.8836 0.2500 0.2313  1 Li 2.52, 2 Hf 2.71
16 Se 0.3836 0.2500 0.2687  1 Li 2.52, 2 Hf 2.71
17 Se 0.0751 0.7500 0.3678  3 Li 2.50-2.60, 1 Hf 2.59
18 Se 0.5841 0.2500 0.4317  3 Hf 2.74-2.77
19 Se 0.4159 0.7500 0.5683  3 Hf 2.74-2.77
20 Se 0.9249 0.2500 0.6322  3 Li 2.50-2.60, 1 Hf 2.59
21 Se 0.6164 0.7500 0.7313  1 Li 2.52, 2 Hf 2.71
22 Se 0.1164 0.7500 0.7687  1 Li 2.52, 2 Hf 2.71
23 Se 0.4249 0.2500 0.8678  3 Li 2.50-2.60, 1 Hf 2.59
24 Se 0.9159 0.7500 0.9317  3 Hf 2.74-2.77

The calculation puts the calculated total energy at -125.458 eV/cell. The space-group type is No. 62. The value obtained for the polymorph energy (0 for the lowest one) is 0 meV/atom. The calculated volume comes out at 28.877 Å³ per atom.

***

Entry 4:
This record from OQMD via LeMat-Bulk describes a geometry-optimized CsLiHfSe3 structure. The functional is PBE-GGA.

Cell lengths 9.2301, 4.0068, 10.2066 Å; angles 90.00, 113.30, 90.00 degrees
Closest atoms and distances in Å follow each position.
Positions (direct):
1 Cs 0.2347 0.7500 0.2701  7 Se 3.60-3.87, 2 Cs 4.01
2 Cs 0.7653 0.2500 0.7299  7 Se 3.60-3.87, 2 Cs 4.01
3 Hf 0.6803 0.7500 0.1549  6 Se 2.60-2.75
4 Hf 0.3197 0.2500 0.8451  6 Se 2.60-2.75
5 Li 0.9228 0.2500 0.3979  4 Se 2.50-2.62
6 Li 0.0772 0.7500 0.6021  4 Se 2.50-2.62
7 Se 0.8676 0.2500 0.1356  1 Li 2.52, 2 Hf 2.70
8 Se 0.4707 0.2500 0.1376  3 Hf 2.74-2.75
9 Se 0.7780 0.7500 0.4308  3 Li 2.50-2.62, 1 Hf 2.60
10 Se 0.2220 0.2500 0.5692  3 Li 2.50-2.62, 1 Hf 2.60
11 Se 0.5293 0.7500 0.8624  3 Hf 2.74-2.75
12 Se 0.1324 0.7500 0.8644  1 Li 2.52, 2 Hf 2.70

The calculation puts the calculated total energy at -62.706 eV/cell. The space-group type is No. 11. The value obtained for the polymorph energy (0 for the lowest one) is 2 meV/atom. The calculated volume comes out at 28.891 Å³ per atom.

***

Entry 5:
This record from OQMD via LeMat-Bulk describes a geometry-optimized Cs2Li2HfTe4 structure. The functional is PBE-GGA.

Cell lengths 8.2723, 8.2723, 6.7489 Å; angles 90.00, 90.00, 131.75 degrees
Closest atoms and distances in Å follow each position.
Positions (direct):
1 Cs 0.5000 0.0000 0.2595  8 Te 3.99-4.14, 2 Li 4.44
2 Cs 0.0000 0.5000 0.7405  8 Te 3.99-4.14, 2 Li 4.44
3 Hf 0.0000 0.0000 0.0000  4 Te 2.73
4 Li 0.5000 0.5000 0.0000  4 Te 2.83
5 Li 0.0000 0.0000 0.5000  4 Te 2.84
6 Te 0.1362 0.3383 0.2362  1 Hf 2.73, 2 Li 2.83-2.84
7 Te 0.8638 0.6617 0.2362  1 Hf 2.73, 2 Li 2.83-2.84
8 Te 0.3383 0.1362 0.7638  1 Hf 2.73, 2 Li 2.83-2.84
9 Te 0.6617 0.8638 0.7638  1 Hf 2.73, 2 Li 2.83-2.84

The calculation puts the calculated total energy at -37.511 eV/cell. The space-group type is No. 21. The calculated volume comes out at 38.283 Å³ per atom.

***

Entry 6:
This record from OQMD via LeMat-Bulk describes a geometry-optimized CsLuHfTe3 structure. The functional is PBE-GGA.

Cell lengths 9.0993, 9.0993, 11.4178 Å; angles 90.00, 90.00, 152.07 degrees
Closest atoms and distances in Å follow each position.
Positions (direct):
1 Cs 0.7467 0.2533 0.2500  8 Te 3.86-4.07
2 Cs 0.2533 0.7467 0.7500  8 Te 3.86-4.07
3 Hf 0.4661 0.5339 0.2500  4 Te 2.77-2.82
4 Hf 0.5339 0.4661 0.7500  4 Te 2.77-2.82
5 Lu 0.0000 0.0000 0.0000  6 Te 3.08-3.09
6 Lu 0.0000 0.0000 0.5000  6 Te 3.08-3.09
7 Te 0.3814 0.6186 0.0460  1 Hf 2.77, 2 Lu 3.08
8 Te 0.0667 0.9333 0.2500  2 Hf 2.82, 2 Lu 3.09
9 Te 0.3814 0.6186 0.4540  1 Hf 2.77, 2 Lu 3.08
10 Te 0.6186 0.3814 0.5460  1 Hf 2.77, 2 Lu 3.08
11 Te 0.9333 0.0667 0.7500  2 Hf 2.82, 2 Lu 3.09
12 Te 0.6186 0.3814 0.9540  1 Hf 2.77, 2 Lu 3.08

The calculation puts the calculated total energy at -60.858 eV/cell. The space-group type is No. 63. The value obtained for the polymorph energy (0 for the lowest one) is 0 meV/atom. The calculated volume comes out at 36.899 Å³ per atom.

***

Entry 7:
This record from OQMD via LeMat-Bulk describes a geometry-optimized CsLuHfTe3 structure. The functional is PBE-GGA.

Cell lengths 9.1416, 9.1416, 11.2700 Å; angles 90.00, 90.00, 152.38 degrees
Closest atoms and distances in Å follow each position.
Positions (direct):
1 Cs 0.2493 0.7507 0.2500  8 Te 3.88-4.06
2 Cs 0.7507 0.2493 0.7500  8 Te 3.88-4.06
3 Hf 0.0000 0.0000 0.0000  6 Te 3.02-3.08
4 Hf 0.0000 0.0000 0.5000  6 Te 3.02-3.08
5 Lu 0.5346 0.4654 0.2500  4 Te 2.85-2.86
6 Lu 0.4654 0.5346 0.7500  4 Te 2.85-2.86
7 Te 0.6157 0.3843 0.0315  1 Lu 2.85, 2 Hf 3.02
8 Te 0.9302 0.0698 0.2500  2 Lu 2.86, 2 Hf 3.08
9 Te 0.6157 0.3843 0.4685  1 Lu 2.85, 2 Hf 3.02
10 Te 0.3843 0.6157 0.5315  1 Lu 2.85, 2 Hf 3.02
11 Te 0.0698 0.9302 0.7500  2 Lu 2.86, 2 Hf 3.08
12 Te 0.3843 0.6157 0.9685  1 Lu 2.85, 2 Hf 3.02

The calculation puts the calculated total energy at -60.307 eV/cell. The space-group type is No. 63. The value obtained for the polymorph energy (0 for the lowest one) is 46 meV/atom. The calculated volume comes out at 36.384 Å³ per atom.

***

Entry 8:
This record from OQMD via LeMat-Bulk describes a geometry-optimized CsHfMgSe3 structure. The functional is PBE-GGA.

Cell lengths 9.4560, 3.9986, 10.4054 Å; angles 90.00, 114.54, 90.00 degrees
Closest atoms and distances in Å follow each position.
Positions (direct):
1 Cs 0.2790 0.2500 0.2501  7 Se 3.56-3.81
2 Cs 0.7210 0.7500 0.7499  7 Se 3.56-3.81
3 Hf 0.8532 0.2500 0.3823  5 Se 2.64-2.80
4 Hf 0.1468 0.7500 0.6177  5 Se 2.64-2.80
5 Mg 0.5868 0.7500 0.1199  4 Se 2.50-2.66
6 Mg 0.4132 0.2500 0.8801  4 Se 2.50-2.66
7 Se 0.7122 0.2500 0.0577  3 Mg 2.54-2.66
8 Se 0.0215 0.7500 0.3390  3 Hf 2.64-2.71
9 Se 0.6436 0.7500 0.3771  1 Mg 2.50, 2 Hf 2.80
10 Se 0.3564 0.2500 0.6229  1 Mg 2.50, 2 Hf 2.80
11 Se 0.9785 0.2500 0.6610  3 Hf 2.64-2.71
12 Se 0.2878 0.7500 0.9423  3 Mg 2.54-2.66

The calculation puts the calculated total energy at -60.470 eV/cell. The space-group type is No. 11. The value obtained for the polymorph energy (0 for the lowest one) is 0 meV/atom. The calculated volume comes out at 29.825 Å³ per atom.

***

Entry 9:
This record from OQMD via LeMat-Bulk describes a geometry-optimized CsHfMgSe3 structure. The functional is PBE-GGA.

Cell lengths 8.3563, 8.3563, 10.5938 Å; angles 90.00, 90.00, 152.10 degrees
Closest atoms and distances in Å follow each position.
Positions (direct):
1 Cs 0.2582 0.7418 0.2500  8 Se 3.66-3.79, 2 Cs 4.03, 2 Mg 4.04
2 Cs 0.7418 0.2582 0.7500  8 Se 3.66-3.79, 2 Cs 4.03, 2 Mg 4.04
3 Hf 0.0000 0.0000 0.0000  6 Se 2.78-2.79
4 Hf 0.0000 0.0000 0.5000  6 Se 2.78-2.79
5 Mg 0.5424 0.4576 0.2500  4 Se 2.51-2.54
6 Mg 0.4576 0.5424 0.7500  4 Se 2.51-2.54
7 Se 0.6154 0.3846 0.0406  1 Mg 2.51, 2 Hf 2.78
8 Se 0.9466 0.0534 0.2500  2 Mg 2.54, 2 Hf 2.79
9 Se 0.6154 0.3846 0.4594  1 Mg 2.51, 2 Hf 2.78
10 Se 0.3846 0.6154 0.5406  1 Mg 2.51, 2 Hf 2.78
11 Se 0.0534 0.9466 0.7500  2 Mg 2.54, 2 Hf 2.79
12 Se 0.3846 0.6154 0.9594  1 Mg 2.51, 2 Hf 2.78

The calculation puts the calculated total energy at -59.899 eV/cell. The space-group type is No. 63. The value obtained for the polymorph energy (0 for the lowest one) is 48 meV/atom. The calculated volume comes out at 28.848 Å³ per atom.

***

Entry 10:
This record from OQMD via LeMat-Bulk describes a geometry-optimized CsHfMo structure. The functional is PBE-GGA.

Cell lengths 4.8379, 4.8379, 4.8379 Å; angles 60.00, 60.00, 60.00 degrees
Closest atoms and distances in Å follow each position.
Positions (direct):
1 Cs 0.0000 0.0000 0.0000  4 Hf 2.96, 4 Mo 2.96
2 Hf 0.2500 0.2500 0.2500  4 Cs 2.96
3 Mo 0.7500 0.7500 0.7500  4 Cs 2.96

The calculation puts the calculated total energy at -13.530 eV/cell. The space-group type is No. 216. The calculated volume comes out at 26.689 Å³ per atom.

***

no.,total moment (μB/f.u.)
1,0.00
2,0.01
3,0.00
4,0.00
5,0.00
6,0.78
7,1.17
8,0.06
9,0.70
10,2.31